# 1
The following is a PBE calculation of AlReSe2 after structural relaxation, from Alexandria via LeMat-Bulk.

Summary:
As for the total magnetic moment: 0.000 μB/atom. The value obtained for the formation energy without anion corrections is 0.2801 eV per atom.

Cell lengths 3.049, 3.049, 8.082 Å; angles 90.00, 90.00, 90.00 degrees
Atoms (fractional coordinates):
Re  0.500  0.500  0.750
Al  0.500  0.500  0.250
Se  0.000  0.000  0.944
Se  0.000  0.000  0.556

---

# 2
The following is a PBE calculation of YZnGa3Ni after structural relaxation, from Alexandria via LeMat-Bulk.

Summary:
The value obtained for the formation energy is -156 meV per atom. As for the total magnetic moment: 0.000 μB/atom.

Cell lengths 5.692, 6.665, 6.837 Å; angles 119.17, 90.00, 90.00 degrees
Atoms (fractional coordinates):
Ni  0.750  0.635  0.270
Ni  0.250  0.365  0.730
Ga  0.750  0.838  0.676
Ga  0.000  0.304  0.000
Ga  0.500  0.304  0.000
Ga  0.000  0.696  0.000
Ga  0.500  0.696  0.000
Ga  0.250  0.162  0.324
Y  0.750  0.296  0.592
Y  0.250  0.704  0.408
Zn  0.750  0.061  0.122
Zn  0.250  0.939  0.878

---

# 3
The following is a PBE calculation of LiTc2Cl after structural relaxation, from Alexandria via LeMat-Bulk.

Summary:
As for the total magnetic moment: 0.000 μB/atom. The value obtained for the formation energy without anion corrections is 0.6256 eV per atom. Its energy above the most stable polymorph in this dataset is 313 kJ/mol of formula units.

Cell lengths 8.770, 8.770, 8.770 Å; angles 18.54, 18.54, 18.54 degrees
Atoms (fractional coordinates):
Tc  0.993  0.993  0.993
Tc  0.507  0.507  0.507
Cl  0.250  0.250  0.250
Li  0.750  0.750  0.750

---

# 4
The following is a PBE calculation of Nd12Hg6N after structural relaxation, from Alexandria via LeMat-Bulk.

Summary:
As for the total magnetic moment: 0.000 μB/atom. The value obtained for the formation energy without anion corrections is -0.3755 eV per atom.

Cell lengths 8.389, 8.389, 8.389 Å; angles 95.11, 95.11, 95.11 degrees
Atoms (fractional coordinates):
Nd  0.289  0.965  0.078
Nd  0.965  0.078  0.289
Nd  0.582  0.464  0.803
Nd  0.711  0.035  0.922
Nd  0.078  0.289  0.965
Nd  0.803  0.582  0.464
Nd  0.922  0.711  0.035
Nd  0.197  0.418  0.536
Nd  0.464  0.803  0.582
Nd  0.418  0.536  0.197
Nd  0.035  0.922  0.711
Nd  0.536  0.197  0.418
Hg  0.148  0.749  0.355
Hg  0.355  0.148  0.749
Hg  0.645  0.852  0.251
Hg  0.852  0.251  0.645
Hg  0.251  0.645  0.852
Hg  0.749  0.355  0.148
N  0.000  0.000  0.000

---

# 5
The following is a PBE calculation of HfPaTa2N6 after structural relaxation, from Alexandria via LeMat-Bulk.

Summary:
As for the total magnetic moment: 0.000 μB/atom. The value obtained for the formation energy without anion corrections is -1.3112 eV per atom.

Cell lengths 5.524, 5.526, 5.755 Å; angles 61.29, 61.33, 60.00 degrees
Atoms (fractional coordinates):
Hf  0.308  0.308  0.077
N  0.627  0.234  0.244
N  0.155  0.368  0.745
N  0.732  0.155  0.745
N  0.234  0.894  0.245
N  0.894  0.628  0.244
N  0.368  0.732  0.745
Pa  0.799  0.799  0.603
Ta  0.020  0.019  0.941
Ta  0.525  0.524  0.426

---

# 6
The following is a PBE calculation of Tb5Sm3 after structural relaxation, from Alexandria via LeMat-Bulk.

Summary:
The value obtained for the formation energy is 16 meV per atom. As for the total magnetic moment: 0.000 μB/atom. Its energy above the most stable polymorph in this dataset is 0 kJ/mol of formula units.

Cell lengths 3.584, 3.584, 20.311 Å; angles 90.00, 90.00, 90.00 degrees
Atoms (fractional coordinates):
Sm  0.500  0.500  0.874
Sm  0.500  0.500  0.126
Sm  0.000  0.000  0.500
Tb  0.000  0.000  0.000
Tb  0.000  0.000  0.251
Tb  0.000  0.000  0.749
Tb  0.500  0.500  0.374
Tb  0.500  0.500  0.626

---

# 7
The following is a PBE calculation of CsPb3O3 after structural relaxation, from Alexandria via LeMat-Bulk.

Summary:
As for the total magnetic moment: 0.000 μB/atom. The value obtained for the formation energy without anion corrections is -0.9715 eV per atom.

Cell lengths 6.488, 6.488, 10.829 Å; angles 72.57, 72.57, 60.00 degrees
Atoms (fractional coordinates):
Cs  0.671  0.671  0.986
Cs  0.329  0.329  0.014
O  0.103  0.696  0.769
O  0.897  0.304  0.231
O  0.696  0.432  0.769
O  0.304  0.568  0.231
O  0.432  0.103  0.769
O  0.568  0.897  0.231
Pb  0.428  0.767  0.662
Pb  0.143  0.428  0.662
Pb  0.233  0.857  0.338
Pb  0.857  0.572  0.338
Pb  0.767  0.143  0.662
Pb  0.572  0.233  0.338

---

# 8
The following is a PBE calculation of CSe2Br2 after structural relaxation, from Alexandria via LeMat-Bulk.

Summary:
As for the total magnetic moment: 0.000 μB/atom. The value obtained for the formation energy without anion corrections is 1.1349 eV per atom. Its energy above the most stable polymorph in this dataset is 321 kJ/mol of formula units.

Cell lengths 6.030, 6.030, 6.066 Å; angles 90.00, 90.00, 90.00 degrees
Atoms (fractional coordinates):
Br  0.201  0.701  0.500
Br  0.299  0.201  0.500
Br  0.799  0.299  0.500
Br  0.701  0.799  0.500
Se  0.788  0.288  0.000
Se  0.712  0.788  0.000
Se  0.288  0.212  0.000
Se  0.212  0.712  0.000
C  0.500  0.500  0.000
C  0.000  0.000  0.000

---

# 9
The following is a PBE calculation of ScMn2Ru after structural relaxation, from Alexandria via LeMat-Bulk.

Summary:
The value obtained for the formation energy is 146 meV per atom. As for the total magnetic moment: 1.142 μB/atom. Its energy above the most stable polymorph in this dataset is 81 kJ/mol of formula units.

Cell lengths 5.318, 4.880, 2.764 Å; angles 82.89, 72.99, 117.52 degrees
Atoms (fractional coordinates):
Mn  0.000  0.000  0.000
Mn  0.500  0.000  0.500
Ru  0.000  0.500  0.500
Sc  0.500  0.500  0.000

---

# 10
The following is a PBE calculation of AcAgSn2S6 after structural relaxation, from Alexandria via LeMat-Bulk.

Summary:
As for the total magnetic moment: 0.000 μB/atom. The value obtained for the formation energy without anion corrections is -0.7223 eV per atom.

Cell lengths 7.417, 9.088, 9.088 Å; angles 80.61, 73.24, 73.24 degrees
Atoms (fractional coordinates):
Sn  0.213  0.372  0.232
Sn  0.787  0.628  0.768
Sn  0.713  0.232  0.372
Sn  0.287  0.768  0.628
S  0.350  0.171  0.056
S  0.926  0.388  0.894
S  0.650  0.829  0.944
S  0.972  0.290  0.456
S  0.074  0.612  0.106
S  0.574  0.106  0.612
S  0.528  0.544  0.710
S  0.150  0.944  0.829
S  0.426  0.894  0.388
S  0.472  0.456  0.290
S  0.850  0.056  0.171
S  0.028  0.710  0.544
Ac  0.250  0.852  0.148
Ac  0.750  0.148  0.852
Ag  0.750  0.774  0.226
Ag  0.250  0.226  0.774

---

# 11
The following is a PBE calculation of GaCuTe after structural relaxation, from Alexandria via LeMat-Bulk.

Summary:
As for the total magnetic moment: 0.000 μB/atom. The value obtained for the formation energy without anion corrections is -0.0721 eV per atom. Its energy above the most stable polymorph in this dataset is 20 kJ/mol of formula units.

Cell lengths 4.701, 4.775, 6.690 Å; angles 88.36, 69.62, 88.96 degrees
Atoms (fractional coordinates):
Te  0.859  0.988  0.575
Te  0.169  0.424  0.972
Cu  0.794  0.753  0.253
Cu  0.690  0.666  0.913
Ga  0.352  0.974  0.191
Ga  0.434  0.403  0.504

---

# 12
The following is a PBE calculation of CePm3Th2P6 after structural relaxation, from Alexandria via LeMat-Bulk.

Summary:
The value obtained for the formation energy is -1573 meV per atom. As for the total magnetic moment: 0.053 μB/atom.

Cell lengths 7.162, 7.162, 7.144 Å; angles 99.62, 99.62, 120.00 degrees
Atoms (fractional coordinates):
Th  0.333  0.667  0.000
Th  0.667  0.333  0.000
P  0.586  0.918  0.753
P  0.750  0.750  0.247
P  0.918  0.586  0.753
P  0.414  0.082  0.247
P  0.082  0.414  0.247
P  0.250  0.250  0.753
Ce  0.000  0.000  0.000
Pm  0.833  0.167  0.500
Pm  0.500  0.500  0.500
Pm  0.167  0.833  0.500